No. 1
Computed, not measured: a relaxed Pa3Co9B2Ir crystal at the PBE level of DFT.

Summary:
Its energy relative to the elements is -0.2911 eV per atom. The space group is P-3m1. The total energy is -7.9348 eV per atom. The value obtained for the density of states at the Fermi level is 1.06 states/eV/atom. The total magnetization is 0.00 μB per atom.

Cell lengths 5.249, 5.249, 8.658 Å; angles 90.00, 90.00, 120.00 degrees
Fractional coordinates of all 15 atoms:
Co (0.500, 0.500, 0.000)
Pa (0.000, 0.000, 0.000)
Ir (0.000, 0.000, 0.500)
Co (0.500, 0.000, 0.000)
Co (0.000, 0.500, 0.000)
Pa (0.667, 0.333, 0.358)
Pa (0.333, 0.667, 0.642)
Co (0.324, 0.162, 0.728)
Co (0.162, 0.838, 0.272)
B (0.333, 0.667, 0.141)
B (0.667, 0.333, 0.859)
Co (0.838, 0.162, 0.728)
Co (0.676, 0.838, 0.272)
Co (0.162, 0.324, 0.272)
Co (0.838, 0.676, 0.728)

No. 2
Computed, not measured: a relaxed CoB2IrPd crystal at the PBE level of DFT.

Summary:
Its energy relative to the elements is 1.0556 eV per atom. The space group is P4/mmm. The total energy is -5.8473 eV per atom. The value obtained for the density of states at the Fermi level is 0.82 states/eV/atom. The total magnetization is 0.31 μB per atom.

Cell lengths 3.758, 4.700, 3.758 Å; angles 90.00, 90.00, 90.00 degrees
Fractional coordinates of all 5 atoms:
Co (0.000, 0.000, 0.000)
Ir (0.000, 0.500, 0.000)
B (0.500, 0.000, 0.000)
B (0.000, 0.000, 0.500)
Pd (0.500, 0.500, 0.500)

No. 3
Computed, not measured: a relaxed CoBSb2Ir crystal at the PBE level of DFT.

Summary:
The formation energy from raw total energies comes out at 0.66 eV per atom. The space group is P4/mmm. The total energy is -5.5132 eV per atom. The value obtained for the density of states at the Fermi level is 0.77 states/eV/atom. The total magnetization is 0.11 μB per atom.

Cell lengths 4.707, 3.743, 4.707 Å; angles 90.00, 90.00, 90.00 degrees
Fractional coordinates of all 5 atoms:
Ir (0.500, 0.500, 0.500)
Sb (0.500, 0.000, 0.000)
B (0.000, 0.000, 0.000)
Co (0.000, 0.500, 0.000)
Sb (0.000, 0.000, 0.500)